A plane-wave DFT calculation with GGA+U was carried out for an optimized crystal structure of CsK2MnO4.

Results
Mass density ... 3.30 g cm⁻³
Total energy ... -167.518 eV per cell
Calculated volume ... 166.1 Å³/f.u.

Cell lengths 9.115, 9.202, 7.922 Å; angles 90.00, 90.00, 90.00 degrees
Space group Fmm2 (No. 42)
Asymmetric unit:
Cs 0.000 0.000 0.000 x4
K 0.250 0.250 0.251 x8
Mn 0.000 0.000 0.499 x4
O 0.000 0.155 0.622 x8
O 0.156 0.000 0.375 x8